# PBE CsPb2I, relaxed
# Raw total energy (Ha/atom): -0.0841
# E above lowest polymorph (kJ/mol of atoms): 42.76
# Formation energy (no corrections) (meV per atom): 166
data_CsPb2I
_cell_length_a 8.6028
_cell_length_b 8.6028
_cell_length_c 8.6028
_cell_angle_alpha 90.00
_cell_angle_beta 90.00
_cell_angle_gamma 90.00
_symmetry_space_group_name_H-M 'F m -3 m'
_symmetry_Int_Tables_number 225
_symmetry_space_group_name_Hall '-F 4 2 3'
loop_
_atom_site_label
_atom_site_type_symbol
_atom_site_fract_x
_atom_site_fract_y
_atom_site_fract_z
Cs1 Cs 0.0000 0.0000 0.0000
Pb1 Pb 0.2500 0.2500 0.2500
I1 I 0.0000 0.0000 0.5000

---

# PBE Pr2BeHPd6, relaxed
# Raw total energy (Ha/atom): -0.2000
data_Pr2BeHPd6
_cell_length_a 5.8895
_cell_length_b 5.8910
_cell_length_c 6.4270
_cell_angle_alpha 63.59
_cell_angle_beta 62.99
_cell_angle_gamma 60.25
_symmetry_space_group_name_H-M 'P -1'
_symmetry_Int_Tables_number 2
loop_
_symmetry_equiv_pos_as_xyz
'x,y,z'
'-x,-y,-z'
loop_
_atom_site_label
_atom_site_type_symbol
_atom_site_fract_x
_atom_site_fract_y
_atom_site_fract_z
Pr1 Pr 0.2374 0.2392 0.2891
Be1 Be 0.5000 0.5000 0.5000
H1 H 0.0000 0.0000 0.0000
Pd1 Pd 0.2363 0.7400 0.7854
Pd2 Pd 0.2384 0.2368 0.7862
Pd3 Pd 0.2615 0.7643 0.2142

---

# PBE TcRh2Se, relaxed
# Raw total energy (Ha/atom): -0.2576
# Formation energy (no corrections) (meV per atom): 128
data_TcRh2Se
_cell_length_a 9.2885
_cell_length_b 2.9313
_cell_length_c 4.4361
_cell_angle_alpha 90.00
_cell_angle_beta 92.29
_cell_angle_gamma 90.00
_symmetry_space_group_name_H-M 'C 1 2/m 1'
_symmetry_Int_Tables_number 12
loop_
_symmetry_equiv_pos_as_xyz
'x,y,z'
'-x,-y,-z'
'-x,y,-z'
'x,-y,z'
'x+1/2,y+1/2,z'
'-x+1/2,-y+1/2,-z'
'-x+1/2,y+1/2,-z'
'x+1/2,-y+1/2,z'
loop_
_atom_site_label
_atom_site_type_symbol
_atom_site_fract_x
_atom_site_fract_y
_atom_site_fract_z
Tc1 Tc 0.0000 0.0000 0.0000
Rh1 Rh 0.2291 0.5000 0.2396
Se1 Se 0.0000 0.5000 0.5000

---

# PBE CaNiN2, relaxed
# Raw total energy (Ha/atom): -0.2004
# Formation energy (no corrections) (meV per atom): 655
data_CaNiN2
_cell_length_a 5.5633
_cell_length_b 5.5633
_cell_length_c 5.5633
_cell_angle_alpha 90.00
_cell_angle_beta 90.00
_cell_angle_gamma 90.00
_symmetry_space_group_name_H-M 'F m -3 m'
_symmetry_Int_Tables_number 225
_symmetry_space_group_name_Hall '-F 4 2 3'
loop_
_atom_site_label
_atom_site_type_symbol
_atom_site_fract_x
_atom_site_fract_y
_atom_site_fract_z
Ca1 Ca 0.0000 0.0000 0.0000
Ni1 Ni 0.0000 0.0000 0.5000
N1 N 0.2500 0.2500 0.2500